# 1
Tb8Ir2Pt PBE relaxed; energy relative to the elements = -0.5301 eV per atom; uncorrected energy = -6.058 eV/atom; spin magnetization = 0.0 μB per formula unit
1.0
5.9574 0.0911 -0.9803
-1.9029 6.7385 -2.7761
-0.1028 -0.0607 7.5313
Tb Ir Pt
8 2 1
Direct
0.5850 0.3432 0.0799 Tb
0.3765 0.9277 0.6633 Tb
0.9857 0.2169 0.7836 Tb
0.7971 0.6419 0.6419 Tb
0.3765 0.6633 0.9277 Tb
0.1748 0.3640 0.3640 Tb
0.9857 0.7836 0.2169 Tb
0.5850 0.0799 0.3432 Tb
0.4883 0.6924 0.3185 Ir
0.4883 0.3185 0.6924 Ir
0.1567 0.0025 0.0025 Pt

***

# 2
TbIrPt PBE relaxed; energy relative to the elements = -0.1704 eV per atom; uncorrected energy = -6.681 eV/atom; spin magnetization = 0.0 μB per formula unit; energy above the most stable polymorph in this dataset = 0.756 eV per atom
1.0
4.1152 0.0000 0.0000
2.0576 3.5639 0.0000
2.0576 1.1880 4.8333
Tb Pt Ir
1 1 1
Direct
0.3282 0.3282 0.0154 Tb
0.1322 0.1322 0.6035 Pt
0.5250 0.5250 0.4250 Ir

***

# 3
Tb7Ir2Pt2 PBE relaxed; energy relative to the elements = -0.6803 eV per atom; uncorrected energy = -6.336 eV/atom; spin magnetization = 0.0 μB per formula unit
1.0
-5.9398 -3.1321 -0.0114
2.0863 -3.9382 -5.2690
3.4553 -3.8712 4.2622
Ir Tb Pt
2 7 2
Direct
0.2769 0.0000 0.7231 Ir
0.7231 0.0000 0.2769 Ir
0.0000 0.0000 0.0000 Tb
0.5000 0.2520 0.5000 Tb
0.0000 0.7428 0.5000 Tb
0.5000 0.7428 0.0000 Tb
0.5000 0.7480 0.5000 Tb
0.0000 0.2572 0.5000 Tb
0.5000 0.2572 0.0000 Tb
0.2349 0.5000 0.2349 Pt
0.7651 0.5000 0.7651 Pt

***

# 4
Tb3Ir2Pt PBE relaxed; energy relative to the elements = -0.9228 eV per atom; uncorrected energy = -7.198 eV/atom; spin magnetization = 0.0 μB per formula unit
1.0
-2.7203 -0.5699 1.8777
2.8073 -2.3984 3.3390
-0.2410 7.6168 1.9628
Ir Tb Pt
2 3 1
Direct
0.0000 0.3333 0.6666 Ir
0.0000 0.6667 0.3334 Ir
0.5000 0.5000 0.0000 Tb
0.5000 0.1687 0.3373 Tb
0.5000 0.8313 0.6627 Tb
0.0000 0.0000 0.0000 Pt

***

# 5
TbIrPt PBE relaxed; energy relative to the elements = -0.9268 eV per atom; uncorrected energy = -7.438 eV/atom; spin magnetization = 0.0 μB per formula unit; energy above the most stable polymorph in this dataset = 0.000 eV per atom
1.0
4.6971 -0.0722 -2.6841
-3.0909 4.4402 -0.0533
-0.0517 0.0722 5.4096
Ir Tb Pt
2 2 2
Direct
0.0000 0.5000 0.5000 Ir
0.5000 0.0000 0.5000 Ir
0.7500 0.8765 0.1265 Tb
0.2500 0.1235 0.8735 Tb
0.5000 0.5000 0.5000 Pt
0.0000 0.5000 0.0000 Pt

***

# 6
Tb12IrPt6 PBE relaxed; energy relative to the elements = -0.8830 eV per atom; uncorrected energy = -6.181 eV/atom; spin magnetization = 0.0 μB per formula unit
1.0
-2.7790 4.6253 6.2506
-6.7783 -4.4760 -1.4854
4.3753 -5.5513 4.2692
Tb Pt Ir
12 6 1
Direct
0.5811 0.1773 0.4225 Tb
0.4189 0.8227 0.5775 Tb
0.0735 0.9510 0.3212 Tb
0.6788 0.9265 0.0490 Tb
0.5775 0.4189 0.8227 Tb
0.9265 0.0490 0.6788 Tb
0.3212 0.0735 0.9510 Tb
0.0490 0.6788 0.9265 Tb
0.8227 0.5775 0.4189 Tb
0.4225 0.5811 0.1773 Tb
0.1773 0.4225 0.5811 Tb
0.9510 0.3212 0.0735 Tb
0.3834 0.6916 0.8650 Pt
0.1350 0.6166 0.3084 Pt
0.6916 0.8650 0.3834 Pt
0.8650 0.3834 0.6916 Pt
0.6166 0.3084 0.1350 Pt
0.3084 0.1350 0.6166 Pt
0.0000 0.0000 0.0000 Ir

***

# 7
Tb6Ir2Pt PBE relaxed; energy relative to the elements = -0.6956 eV per atom; uncorrected energy = -6.423 eV/atom; spin magnetization = 0.0 μB per formula unit
1.0
6.6934 0.0000 0.0385
0.0000 7.2288 0.0000
-0.7787 0.0000 10.0392
Pt Tb Ir
2 12 4
Direct
0.5000 0.5000 0.0000 Pt
0.0000 0.0000 0.5000 Pt
0.8177 0.6721 0.5844 Tb
0.1607 0.3181 0.0686 Tb
0.8393 0.6819 0.9314 Tb
0.8294 0.9461 0.2442 Tb
0.6607 0.1819 0.5686 Tb
0.3393 0.8181 0.4314 Tb
0.1706 0.0539 0.7558 Tb
0.3177 0.8279 0.0844 Tb
0.6706 0.4461 0.2558 Tb
0.6823 0.1721 0.9156 Tb
0.1823 0.3279 0.4156 Tb
0.3294 0.5539 0.7442 Tb
0.5480 0.8849 0.7287 Ir
0.9520 0.3849 0.7713 Ir
0.0480 0.6151 0.2287 Ir
0.4520 0.1151 0.2713 Ir

***

# 8
Tb4IrPt PBE relaxed; energy relative to the elements = -0.7649 eV per atom; uncorrected energy = -6.335 eV/atom; spin magnetization = 0.0 μB per formula unit
1.0
-3.5171 -3.5269 -4.7235
5.6544 -0.4915 -3.8608
0.5775 -3.8659 7.4559
Tb Ir Pt
8 2 2
Direct
0.7464 0.0018 0.5000 Tb
0.7463 0.5017 0.4999 Tb
0.5018 0.7463 0.0000 Tb
0.0018 0.7464 0.0000 Tb
0.2537 0.4983 0.5001 Tb
0.9982 0.2536 0.0000 Tb
0.2536 0.9982 0.5000 Tb
0.4982 0.2537 0.0000 Tb
0.6250 0.3749 0.7499 Ir
0.3750 0.6251 0.2501 Ir
0.1250 0.8750 0.7501 Pt
0.8750 0.1250 0.2499 Pt